Material: ZrTaS3
Method: DFT, SCAN
State: PBEsol geometry

```
ZrTaS3
1.0
-2.3180 -0.2603 4.2155
-0.5031 -4.7574 -0.5704
4.1934 -0.7146 2.2618
Zr S Ta
1 3 1
Cartesian
0.0000 0.0000 0.0000 Zr
-0.2515 -2.3787 -0.2852 S
2.0967 -0.3573 1.1309 S
-1.1590 -0.1301 2.1077 S
0.6862 -2.8661 2.9534 Ta
```

Values from the calculation:
- Crystal system: cubic
- Formation energy without anion corrections: 41.4 kJ/mol of formula units


Material: ZrTaS2
Method: DFT, SCAN
State: PBEsol geometry

```
ZrTaS2
1.0
-3.1764 -0.0541 0.2185
-1.7534 -0.8889 -2.5052
-1.3268 -8.3213 1.8573
S Zr Ta
2 1 1
Cartesian
-4.8334 -3.3814 -1.4890 S
-1.4232 -5.8829 1.0595 S
0.0000 0.0000 0.0000 Zr
-3.1283 -4.6321 -0.2147 Ta
```

Values from the calculation:
- Energy above the lowest structure with this stoichiometry: 14.37 kJ per mole of atoms
- Crystal system: trigonal
- Formation energy without anion corrections: -295.5 kJ/mol of formula units


Final energy for the records above, in order: -25.15, -29.90 eV/atom